A PBEsol-optimized structure of TiAlPC2, computed with SCAN.

```
data_TiAlPC2
_chemical_formula_sum 'Ti1 Al1 P1 C2'
_cell_length_a 3.860
_cell_length_b 3.860
_cell_length_c 5.401
_cell_angle_alpha 90.00
_cell_angle_beta 90.00
_cell_angle_gamma 90.00
_space_group_name_H-M_alt 'P 4/m m m'
_space_group_IT_number 123
_space_group_name_Hall '-P 4 2'
loop_
_atom_site_label
_atom_site_fract_x
_atom_site_fract_y
_atom_site_fract_z
Ti1 0.000 0.000 0.000
Al1 0.000 0.000 0.500
P1 0.500 0.500 0.500
C1 0.000 0.500 0.000
```

## Properties
The total magnetization is 0.00 μB per formula unit. Its energy of formation from the pure elements is 1.73 eV per atom. The raw total energy is -9.1497 eV per atom.